Entry from Alexandria via LeMat-Bulk: crystalline Y4ErIn at its relaxed geometry (PBE).

Calculated values
- formation energy (meV/atom) = -160
- energy above the lowest structure with this stoichiometry (eV/f.u.) = 0.00

Unit cell a=3.5827 b=3.5827 c=14.2219 alpha=90.00 beta=90.00 gamma=90.00
Space group P4/mmm (No. 123)
Inequivalent atoms, fractional coordinates:
Y 0.0000 0.0000 0.1466 (multiplicity 2)
Y 0.5000 0.5000 0.3259 (multiplicity 2)
Er 0.0000 0.0000 0.5000 (multiplicity 1)
In 0.5000 0.5000 0.0000 (multiplicity 1)